[1]
10
Lattice="-5.494 3.795 3.416 -2.659 -6.410 2.844 1.657 0.332 2.297" Properties=species:S:1:pos:R:3 comment="GaGe2Ir2 | Alexandria | PBE | relaxed" crystal_system=tetragonal formation_enthalpy_0k_ev_per_atom=-0.10 relative_energy_mev_per_atom=129.6 pbc="T T T"
Ga -4.077 -1.308 3.130
Ga 0.000 0.000 0.000
Ge -4.785 1.143 5.057
Ge -1.498 0.549 2.771
Ge -1.711 -3.428 3.499
Ge -4.998 -2.833 5.785
Ir -6.406 -0.915 4.754
Ir -1.748 -1.700 1.506
Ir -4.204 -4.127 3.629
Ir -3.949 1.512 2.631

[2]
6
Lattice="-3.635 2.243 -1.482 0.491 -4.391 -0.956 -3.467 -1.684 5.956" Properties=species:S:1:pos:R:3 comment="PrErGa2Pd2 | Alexandria | PBE | relaxed" crystal_system=trigonal formation_enthalpy_0k_ev_per_atom=-0.84 pbc="T T T"
Pd -3.377 -3.391 3.151
Pd -3.234 -0.442 0.367
Ga -1.838 -2.643 0.507
Ga -4.773 -1.189 3.011
Er -1.734 -0.842 2.978
Pr 0.000 0.000 0.000

[3]
5
Lattice="5.696 0.000 0.000 0.000 5.235 0.000 0.000 0.000 5.696" Properties=species:S:1:pos:R:3 comment="CsBaBeTe2 | Alexandria | PBE | relaxed" e_tot_ev_per_cell=-14.37 crystal_system=tetragonal pbc="T T T"
Be 0.000 0.000 0.000
Te 2.848 0.000 0.000
Te 0.000 0.000 2.848
Cs 0.000 2.618 0.000
Ba 2.848 2.618 2.848

[4]
4
Lattice="6.206 1.262 5.755 5.514 -1.851 6.276 7.546 -1.023 3.903" Properties=species:S:1:pos:R:3 comment="Sc2CdO | Alexandria | PBE | relaxed" crystal_system=trigonal relative_energy_mev_per_atom=279.8 pbc="T T T"
Cd 0.000 0.000 0.000
O 9.633 -0.806 7.967
Sc 2.286 -0.191 1.891
Sc 16.979 -1.421 14.044

[5]
12
Lattice="6.468 0.156 0.982 1.587 5.489 3.199 0.107 0.058 6.549" Properties=species:S:1:pos:R:3 comment="AcLa5N6 | Alexandria | PBE | relaxed" e_tot_ev_per_cell=-93.92 crystal_system=monoclinic pbc="T T T"
N 2.026 1.464 1.076
N 4.994 0.602 3.239
N 2.593 3.209 4.321
N 5.569 2.493 6.409
N 3.168 5.100 7.492
N 6.029 4.181 3.105
La 4.028 2.822 2.090
La 4.588 4.656 5.367
La 1.128 3.692 6.508
La 3.574 1.046 5.363
La 0.566 1.854 3.240
Ac 0.000 0.000 0.000

[6]
16
Lattice="-1.519 -0.456 5.681 -5.427 -1.678 -1.585 3.480 -11.279 0.025" Properties=species:S:1:pos:R:3 comment="AgSn3Se4 | Alexandria | PBE | relaxed" e_tot_ev_per_cell=-63.12 crystal_system=orthorhombic pbc="T T T"
Sn 0.397 -9.136 2.829
Sn -1.559 -9.747 -0.805
Sn 0.281 -6.090 -0.018
Sn -3.299 -4.108 -0.817
Sn -4.923 -1.514 2.019
Sn -1.343 -3.496 2.816
Se 1.167 -8.950 -0.012
Se -2.210 -0.676 2.810
Se -4.044 -4.377 2.023
Se -0.479 -6.318 2.820
Se -0.598 -3.227 -0.025
Se -2.330 -9.933 2.036
Se -4.163 -1.286 -0.822
Se -2.432 -6.928 -0.812
Ag -1.446 -0.446 -0.027
Ag -3.197 -7.158 2.028

[7]
5
Lattice="2.790 -0.011 0.005 -1.368 3.995 -0.011 -0.023 -1.027 5.840" Properties=species:S:1:pos:R:3 comment="BPRhCS | Alexandria | PBE | relaxed" crystal_system=triclinic relative_energy_mev_per_atom=141.1 pbc="T T T"
C -0.172 3.045 3.148
S 1.204 0.537 4.182
B 1.220 2.170 3.031
P -0.170 3.411 1.345
Rh 1.224 1.645 0.849

[8]
8
Lattice="3.353 0.000 0.000 0.000 3.353 0.000 1.677 1.677 9.156" Properties=species:S:1:pos:R:3 comment="Li2BePt | Alexandria | PBE | relaxed" crystal_system=tetragonal formation_enthalpy_0k_ev_per_atom=-0.23 pbc="T T T"
Be 1.677 1.677 0.000
Be 1.677 3.353 4.578
Pt 0.000 0.000 0.000
Pt 3.353 1.677 4.578
Li 2.510 0.838 2.289
Li 4.191 4.186 6.867
Li 2.515 2.520 6.867
Li 0.843 2.515 2.289

[9]
11
Lattice="6.330 0.000 0.000 -3.165 7.067 -0.048 0.000 -2.699 8.455" Properties=species:S:1:pos:R:3 comment="Ce5SmSn5 | Alexandria | PBE | relaxed" crystal_system=monoclinic formation_enthalpy_0k_ev_per_atom=-0.34 pbc="T T T"
Ce 3.165 0.104 7.031
Ce 0.000 2.964 5.592
Ce 0.000 -1.350 4.227
Ce 3.165 1.404 2.815
Ce 0.000 4.264 1.376
Sm 0.000 0.000 0.000
Sn 3.165 0.000 0.000
Sn 3.165 2.915 5.572
Sn 0.000 1.453 2.835
Sn 3.165 4.223 1.418
Sn 0.000 0.145 6.988

[10]
6
Lattice="-3.148 -0.927 -2.395 2.946 1.879 -4.601 1.784 -8.945 1.117" Properties=species:S:1:pos:R:3 comment="Ac3Cd2Sn | Alexandria | PBE | relaxed" crystal_system=orthorhombic formation_enthalpy_0k_ev_per_atom=-0.42 relative_energy_mev_per_atom=0.0 pbc="T T T"
Ac -0.101 0.476 -3.498
Ac -0.506 -3.090 -1.585
Ac 2.088 -4.903 -4.293
Cd 2.606 -1.846 -2.712
Cd 2.124 -5.220 -0.771
Sn 0.000 0.000 0.000

no.,M_tot (μB/f.u.)
1,0.00
2,0.00
3,0.00
4,0.00
5,0.00
6,0.00
7,0.00
8,0.00
9,3.52
10,0.00